ScAg5: optimized geometry, PBE.

Lattice parameters (Å, degrees): 5.405 5.405 5.405 60.00 60.00 60.00
Fractional coordinates of all 6 atoms:
Sc1 0.000 0.000 0.000
Ag1 0.375 0.375 0.375
Ag2 0.375 0.375 0.875
Ag3 0.375 0.875 0.375
Ag4 0.750 0.750 0.750
Ag5 0.875 0.375 0.375

Summary:
Space-group type: F-43m (216)
Calculated volume (Å³/cell): 111.7
Crystal system: cubic
Energy relative to the elements (eV/f.u.): -0.30


Pr2Ho2CI2Cl3: optimized geometry, PBE.

Lattice parameters (Å, degrees): 9.358 9.358 8.276 99.82 99.82 24.21
Fractional coordinates of all 10 atoms:
Pr1 0.005 0.005 0.288
Pr2 0.995 0.995 0.712
Ho1 0.368 0.368 0.441
Ho2 0.632 0.632 0.559
C1 0.500 0.500 0.500
I1 0.171 0.171 0.840
I2 0.829 0.829 0.160
Cl1 0.169 0.169 0.357
Cl2 0.500 0.500 0.000
Cl3 0.831 0.831 0.643

Summary:
Space-group type: C2/m (12)
Calculated volume (Å³/cell): 292.6
Crystal system: monoclinic
Energy relative to the lowest polymorph listed for this composition (meV per atom): 13